Version 1
Density functional theory data (PBE) for ScMn3Ga after structural relaxation.

Calculated values
**Size of the total moment**: 1.86 μB/atom
**Fermi-level density of states**: 10.57 states/eV/cell
**Space-group type**: Pm-3m

a = 4.582 Å, b = 4.582 Å, c = 4.582 Å
α = 90.00°, β = 90.00°, γ = 90.00°
Fractional coordinates of all 5 atoms:
1 Sc 0.000 0.000 0.000
2 Mn 0.000 0.500 0.500
3 Mn 0.500 0.000 0.500
4 Mn 0.500 0.500 0.000
5 Ga 0.500 0.500 0.500

***

Version 2
Density functional theory data (PBE) for ScMn3Ga after structural relaxation.

Calculated values
**Size of the total moment**: 1.90 μB/atom
**Fermi-level density of states**: 7.64 states/eV/cell
**Space-group type**: Pm-3m

a = 4.641 Å, b = 4.641 Å, c = 4.641 Å
α = 90.00°, β = 90.00°, γ = 90.00°
Fractional coordinates of all 5 atoms:
1 Sc 0.000 0.000 0.000
2 Mn 0.000 0.000 0.500
3 Mn 0.000 0.500 0.000
4 Mn 0.500 0.000 0.000
5 Ga 0.500 0.500 0.500

***

Stability summary: most stable version 1, least stable version 2.

***

Version 1
Density functional theory data (PBE) for Mn2GaSe2 after structural relaxation.

Calculated values
**Size of the total moment**: 1.55 μB/atom
**Fermi-level density of states**: 2.13 states/eV/cell
**Space-group type**: P1

a = 4.364 Å, b = 4.372 Å, c = 6.299 Å
α = 79.31°, β = 80.44°, γ = 69.07°
Fractional coordinates of all 5 atoms:
1 Mn 0.000 0.000 0.000
2 Mn 0.427 0.922 0.620
3 Ga 0.152 0.495 0.715
4 Se 0.634 0.656 0.992
5 Se 0.950 0.004 0.414

***

Version 2
Density functional theory data (PBE) for Mn2GaSe2 after structural relaxation.

Calculated values
**Size of the total moment**: 0.17 μB/atom
**Fermi-level density of states**: 1.95 states/eV/cell
**Space-group type**: Imm2

a = 5.986 Å, b = 5.986 Å, c = 5.986 Å
α = 150.76°, β = 63.01°, γ = 125.53°
Fractional coordinates of all 5 atoms:
1 Mn 0.099 0.000 0.099
2 Mn 0.901 0.000 0.901
3 Ga 0.343 0.843 0.500
4 Se 0.532 0.204 0.329
5 Se 0.875 0.204 0.671

***

Stability summary: most stable version 1, least stable version 2.

***

Version 1
Density functional theory data (PBE) for Mn2GaSe2 after structural relaxation.

Calculated values
**Size of the total moment**: 1.21 μB/atom
**Fermi-level density of states**: 2.80 states/eV/cell
**Space-group type**: Cm

a = 4.741 Å, b = 4.741 Å, c = 6.439 Å
α = 110.30°, β = 110.30°, γ = 40.88°
Fractional coordinates of all 5 atoms:
1 Mn 0.000 0.000 0.000
2 Mn 0.216 0.216 0.701
3 Ga 0.661 0.661 0.354
4 Se 0.329 0.329 0.111
5 Se 0.496 0.496 0.699

***

Version 2
Density functional theory data (PBE) for Mn2GaSe2 after structural relaxation.

Calculated values
**Size of the total moment**: 0.98 μB/atom
**Fermi-level density of states**: 3.97 states/eV/cell
**Space-group type**: Cm

a = 6.219 Å, b = 6.219 Å, c = 5.470 Å
α = 115.43°, β = 115.43°, γ = 28.94°
Fractional coordinates of all 5 atoms:
1 Mn 0.000 0.000 0.000
2 Mn 0.645 0.645 0.813
3 Ga 0.305 0.305 0.728
4 Se 0.220 0.220 0.177
5 Se 0.503 0.503 0.339

***

Stability summary: most stable version 1, least stable version 2.

***

Version 1
Density functional theory data (PBE) for Mn2GaSe after structural relaxation.

Calculated values
**Size of the total moment**: 0.27 μB/atom
**Fermi-level density of states**: 3.38 states/eV/cell
**Space-group type**: Fm-3m

a = 4.179 Å, b = 4.179 Å, c = 4.179 Å
α = 60.00°, β = 60.00°, γ = 60.00°
Fractional coordinates of all 4 atoms:
1 Mn 0.250 0.250 0.250
2 Mn 0.750 0.750 0.750
3 Ga 0.000 0.000 0.000
4 Se 0.500 0.500 0.500

***

Version 2
Density functional theory data (PBE) for Mn2GaSe after structural relaxation.

Calculated values
**Size of the total moment**: 1.77 μB/atom
**Fermi-level density of states**: 2.41 states/eV/cell
**Space-group type**: I-42d

a = 7.533 Å, b = 7.533 Å, c = 7.533 Å
α = 139.03°, β = 139.03°, γ = 59.34°
Fractional coordinates of all 8 atoms:
1 Mn 0.121 0.625 0.996
2 Mn 0.375 0.371 0.496
3 Mn 0.629 0.125 0.004
4 Mn 0.875 0.879 0.504
5 Ga 0.250 0.750 0.500
6 Ga 0.500 0.500 0.000
7 Se 0.000 0.000 0.000
8 Se 0.750 0.250 0.500

***

Stability summary: most stable version 1, least stable version 2.

***

Version 1
Density functional theory data (PBE) for Mn2GaSi2 after structural relaxation.

Calculated values
**Size of the total moment**: 0.00 μB/atom
**Fermi-level density of states**: 6.20 states/eV/cell
**Space-group type**: P4/mbm

a = 6.505 Å, b = 6.505 Å, c = 2.960 Å
α = 90.00°, β = 90.00°, γ = 90.00°
Fractional coordinates of all 10 atoms:
1 Mn 0.152 0.348 0.000
2 Mn 0.348 0.848 0.000
3 Mn 0.652 0.152 0.000
4 Mn 0.848 0.652 0.000
5 Ga 0.000 0.000 0.000
6 Ga 0.500 0.500 0.000
7 Si 0.141 0.641 0.500
8 Si 0.359 0.141 0.500
9 Si 0.641 0.859 0.500
10 Si 0.859 0.359 0.500

***

Version 2
Density functional theory data (PBE) for Mn2GaSi2 after structural relaxation.

Calculated values
**Size of the total moment**: 0.62 μB/atom
**Fermi-level density of states**: 5.31 states/eV/cell
**Space-group type**: P4/mbm

a = 7.079 Å, b = 7.079 Å, c = 2.577 Å
α = 90.00°, β = 90.00°, γ = 90.00°
Fractional coordinates of all 10 atoms:
1 Mn 0.153 0.347 0.000
2 Mn 0.347 0.847 0.000
3 Mn 0.653 0.153 0.000
4 Mn 0.847 0.653 0.000
5 Ga 0.000 0.000 0.500
6 Ga 0.500 0.500 0.500
7 Si 0.140 0.640 0.500
8 Si 0.360 0.140 0.500
9 Si 0.640 0.860 0.500
10 Si 0.860 0.360 0.500

***

Version 3
Density functional theory data (PBE) for Mn2GaSi2 after structural relaxation.

Calculated values
**Size of the total moment**: 0.44 μB/atom
**Fermi-level density of states**: 2.84 states/eV/cell
**Space-group type**: I4/mmm

a = 6.269 Å, b = 6.269 Å, c = 6.269 Å
α = 148.66°, β = 148.66°, γ = 44.91°
Fractional coordinates of all 5 atoms:
1 Mn 0.105 0.105 0.000
2 Mn 0.895 0.895 0.000
3 Ga 0.500 0.500 0.000
4 Si 0.250 0.750 0.500
5 Si 0.750 0.250 0.500

***

Stability summary: most stable version 1, least stable version 2.

***

Version 1
Density functional theory data (PBE) for MnGa2Sn2 after structural relaxation.

Calculated values
**Size of the total moment**: 0.74 μB/atom
**Fermi-level density of states**: 5.40 states/eV/cell
**Space-group type**: P4/mbm

a = 7.338 Å, b = 7.338 Å, c = 4.196 Å
α = 90.00°, β = 90.00°, γ = 90.00°
Fractional coordinates of all 10 atoms:
1 Mn 0.000 0.000 0.000
2 Mn 0.500 0.500 0.000
3 Ga 0.148 0.352 0.500
4 Ga 0.352 0.852 0.500
5 Ga 0.648 0.148 0.500
6 Ga 0.852 0.648 0.500
7 Sn 0.155 0.655 0.000
8 Sn 0.345 0.155 0.000
9 Sn 0.655 0.845 0.000
10 Sn 0.845 0.345 0.000

***

Version 2
Density functional theory data (PBE) for MnGa2Sn2 after structural relaxation.

Calculated values
**Size of the total moment**: 0.93 μB/atom
**Fermi-level density of states**: 2.95 states/eV/cell
**Space-group type**: P4/mmm

a = 5.250 Å, b = 5.250 Å, c = 5.674 Å
α = 90.00°, β = 90.00°, γ = 90.00°
Fractional coordinates of all 5 atoms:
1 Mn 0.000 0.000 0.000
2 Ga 0.000 0.500 0.500
3 Ga 0.500 0.000 0.500
4 Sn 0.500 0.500 0.000
5 Sn 0.500 0.500 0.500

***

Version 3
Density functional theory data (PBE) for MnGa2Sn2 after structural relaxation.

Calculated values
**Size of the total moment**: 0.74 μB/atom
**Fermi-level density of states**: 6.44 states/eV/cell
**Space-group type**: P4/mbm

a = 6.751 Å, b = 6.751 Å, c = 4.695 Å
α = 90.00°, β = 90.00°, γ = 90.00°
Fractional coordinates of all 10 atoms:
1 Mn 0.000 0.000 0.000
2 Mn 0.500 0.500 0.000
3 Ga 0.139 0.361 0.000
4 Ga 0.361 0.861 0.000
5 Ga 0.639 0.139 0.000
6 Ga 0.861 0.639 0.000
7 Sn 0.177 0.677 0.500
8 Sn 0.323 0.177 0.500
9 Sn 0.677 0.823 0.500
10 Sn 0.823 0.323 0.500

***

Stability summary: most stable version 3, least stable version 2.